Record 1
LaLuCo (PBE, optimized geometry); mass density = 8.1 g cm⁻³; polymorph energy (0 for the lowest one) = 5.2 kJ per mole of atoms; DFT formation energy = -0.028 eV per atom; V = 25.3 A^3/atom; symmetry = F-43m, No. 216; E = -0.2038 hartree per atom
1.0
-0.6218 4.5955 1.0509
-4.2480 2.0344 -0.6524
-2.6416 1.2444 3.7528
Co Lu La
1 1 1
direct
0.2500 0.2500 0.2500
0.5000 0.5000 0.5000
0.0000 0.0000 0.0000

---

Record 2
NdErSi2Pt5 (PBE, optimized geometry); mass density = 13.9 g cm⁻³; V = 17.9 A^3/atom; raw formation energy = -100.2 kJ per mole of atoms; symmetry = P4/mmm, No. 123; E = -0.2439 hartree per atom
1.0
-3.8965 1.6228 -0.3616
-0.4120 -0.0499 4.2160
3.4106 8.2851 0.4314
Pt Si Nd Er
5 2 1 1
direct
0.0000 0.5000 0.7420
0.5000 0.5000 0.5000
0.5000 0.0000 0.2580
0.0000 0.5000 0.2580
0.5000 0.0000 0.7420
0.5000 0.5000 0.8692
0.5000 0.5000 0.1308
0.0000 0.0000 0.5000
0.0000 0.0000 0.0000

---

Record 3
TaP2Br (PBE, optimized geometry); mass density = 6.8 g cm⁻³; polymorph energy (0 for the lowest one) = 74.4 kJ per mole of atoms; V = 19.6 A^3/atom; raw formation energy = 39.7 kJ per mole of atoms; symmetry = Immm, No. 71; E = -0.2085 hartree per atom
1.0
5.8110 0.0224 0.0005
2.8159 5.0832 -0.0005
-3.6823 -3.6193 2.6664
Br P Ta
1 2 1
direct
0.2500 0.7500 0.5000
0.9461 0.9461 0.0000
0.5539 0.5539 0.0000
0.7500 0.2500 0.5000

---

Record 4
Zn3AsRh (PBE, optimized geometry); mass density = 6.1 g cm⁻³; polymorph energy (0 for the lowest one) = 35.3 kJ per mole of atoms; DFT formation energy = 0.796 eV per atom; V = 20.4 A^3/atom; symmetry = Pm-3m, No. 221; E = -0.0870 hartree per atom
1.0
4.6699 0.0000 0.0000
0.0000 4.6699 0.0000
0.0000 0.0000 4.6699
Rh Zn As
1 3 1
direct
0.5000 0.5000 0.5000
0.0000 0.0000 0.5000
0.0000 0.5000 0.0000
0.5000 0.0000 0.0000
0.0000 0.0000 0.0000

---

Record 5
AlAsCl2 (PBE, optimized geometry); mass density = 2.3 g cm⁻³; polymorph energy (0 for the lowest one) = 1.6 kJ per mole of atoms; V = 30.7 A^3/atom; raw formation energy = -58.1 kJ per mole of atoms; symmetry = Pm, No. 6; E = -0.1332 hartree per atom
1.0
-1.9152 3.2515 1.0712
-3.5167 -2.8382 2.3277
0.8472 -1.7475 6.8187
Cl Al As
2 1 1
direct
0.0000 0.9007 0.0418
0.5000 0.2105 0.4668
0.0000 0.7115 0.3826
0.5000 0.6773 0.6087

---

Record 6
Ti4Sn2N (PBE, optimized geometry); mass density = 6.2 g cm⁻³; polymorph energy (0 for the lowest one) = 0.7 kJ per mole of atoms; V = 17.0 A^3/atom; raw formation energy = -71.4 kJ per mole of atoms; symmetry = Pbam, No. 55; E = -0.2787 hartree per atom
1.0
-0.2024 -2.2344 2.2347
-1.9944 -4.8945 -5.0745
9.8247 -2.4186 -1.5285
Ti N Sn
8 2 4
direct
0.5000 0.3368 0.9301
0.0000 0.6288 0.8210
0.0000 0.1288 0.6790
0.5000 0.1632 0.4301
0.5000 0.6632 0.0699
0.5000 0.8368 0.5699
0.0000 0.3712 0.1790
0.0000 0.8712 0.3210
0.0000 0.0000 0.5000
0.0000 0.5000 0.0000
0.5000 0.0571 0.1398
0.5000 0.5571 0.3602
0.5000 0.9429 0.8602
0.5000 0.4429 0.6398

---

Record 7
CrRePt (PBE, optimized geometry); mass density = 15.0 g cm⁻³; polymorph energy (0 for the lowest one) = 38.6 kJ per mole of atoms; DFT formation energy = 0.388 eV per atom; V = 16.0 A^3/atom; symmetry = F-43m, No. 216; E = -0.3301 hartree per atom
1.0
-2.8194 2.9166 0.4341
-2.1697 0.2430 3.4463
0.6355 3.0811 2.5976
Cr Re Pt
1 1 1
direct
0.7500 0.7500 0.7500
0.5000 0.5000 0.5000
0.0000 0.0000 0.0000

---

Record 8
FeH2Ru2 (PBE, optimized geometry); mass density = 9.5 g cm⁻³; polymorph energy (0 for the lowest one) = 8.8 kJ per mole of atoms; V = 9.1 A^3/atom; symmetry = P4/mbm, No. 127; E = -0.2381 hartree per atom
1.0
5.6299 0.0000 0.0000
0.0000 5.6299 0.0000
0.0000 0.0000 2.8580
Ru Fe H
4 2 4
direct
0.3417 0.1583 0.5000
0.8417 0.3417 0.5000
0.6583 0.8417 0.5000
0.1583 0.6583 0.5000
0.5000 0.5000 0.0000
0.0000 0.0000 0.0000
0.6922 0.1922 0.0000
0.8078 0.6922 0.0000
0.3078 0.8078 0.0000
0.1922 0.3078 0.0000

---

Record 9
CaCI2 (PBE, optimized geometry); mass density = 3.3 g cm⁻³; polymorph energy (0 for the lowest one) = 0.0 kJ per mole of atoms; V = 39.0 A^3/atom; raw formation energy = -65.6 kJ per mole of atoms; symmetry = P1, No. 1; E = -0.1566 hartree per atom
1.0
4.3872 0.0000 -0.0006
-0.0668 7.5958 -0.0004
-1.9829 -2.3480 9.3533
I Ca C
4 2 2
direct
0.5162 0.0464 0.4339
0.3408 0.2508 0.0333
0.0146 0.5351 0.4119
0.9568 0.6668 0.7824
0.9242 0.1259 0.2262
0.4290 0.6653 0.2157
0.8694 0.7825 0.1127
0.9090 0.7385 0.9868

---

Record 10
Tm6Ni2Ru (PBE, optimized geometry); mass density = 9.5 g cm⁻³; polymorph energy (0 for the lowest one) = 5.9 kJ per mole of atoms; DFT formation energy = -0.294 eV per atom; V = 24.0 A^3/atom; symmetry = P2_1/c, No. 14; E = -0.2055 hartree per atom
1.0
6.4171 0.0000 0.4345
0.0000 7.0869 0.0000
-0.1199 0.0000 9.4897
Tm Ni Ru
12 4 2
direct
0.8206 0.6706 0.5675
0.6794 0.1706 0.9325
0.1794 0.3294 0.4325
0.1601 0.0401 0.7549
0.6492 0.1725 0.5760
0.3206 0.8294 0.0675
0.8508 0.6725 0.9240
0.1492 0.3275 0.0760
0.3508 0.8275 0.4240
0.6601 0.4599 0.2549
0.8399 0.9599 0.2451
0.3399 0.5401 0.7451
0.0454 0.6287 0.2721
0.9546 0.3713 0.7279
0.4546 0.1287 0.2279
0.5454 0.8713 0.7721
0.5000 0.5000 0.0000
0.0000 0.0000 0.5000

---

Record 11
Gd3Ti5H12 (PBE, optimized geometry); mass density = 5.7 g cm⁻³; V = 10.5 A^3/atom; symmetry = Ia-3d, No. 230; E = -0.2381 hartree per atom
1.0
10.2863 0.0000 0.0000
-3.4288 9.6981 0.0000
-3.4288 -4.8490 8.3988
H Ti Gd
48 20 12
direct
0.8335 0.9145 0.0411
0.1665 0.0810 0.7075
0.9145 0.8335 0.5411
0.6665 0.4589 0.5855
0.6266 0.0411 0.2075
0.4145 0.3734 0.5810
0.0855 0.9190 0.1266
0.5855 0.6266 0.4190
0.0810 0.1665 0.2075
0.2925 0.4190 0.8335
0.5855 0.9589 0.6665
0.1266 0.7075 0.5411
0.4145 0.0411 0.3335
0.3335 0.5411 0.4145
0.6266 0.5855 0.9190
0.2925 0.8734 0.9589
0.9589 0.3734 0.2925
0.9145 0.0810 0.8734
0.7925 0.4589 0.3734
0.9190 0.0855 0.6266
0.4190 0.1266 0.5855
0.8734 0.2925 0.4589
0.0411 0.6266 0.7075
0.3734 0.9589 0.7925
0.6665 0.2075 0.5810
0.9589 0.5855 0.1665
0.3734 0.4145 0.0810
0.7925 0.3335 0.9190
0.0855 0.1665 0.4589
0.8734 0.5810 0.9145
0.0411 0.4145 0.8335
0.8335 0.9190 0.2925
0.5411 0.2075 0.1266
0.2075 0.5411 0.6266
0.3335 0.7925 0.4190
0.9190 0.8335 0.7925
0.4589 0.7925 0.8734
0.4190 0.2925 0.3335
0.4589 0.6665 0.0855
0.5810 0.7075 0.6665
0.7075 0.5810 0.1665
0.7075 0.1266 0.0411
0.1665 0.0855 0.9589
0.5411 0.3335 0.9145
0.2075 0.6665 0.0810
0.1266 0.4190 0.0855
0.5810 0.8734 0.4145
0.0810 0.9145 0.3734
0.6250 0.7500 0.8750
0.8750 0.6250 0.7500
0.1250 0.7500 0.3750
0.0000 0.0000 0.5000
0.5000 0.0000 0.0000
0.2500 0.3750 0.6250
0.0000 0.5000 0.5000
0.5000 0.5000 0.5000
0.3750 0.2500 0.1250
0.0000 0.0000 0.0000
0.1250 0.3750 0.2500
0.0000 0.5000 0.0000
0.5000 0.0000 0.5000
0.2500 0.8750 0.1250
0.3750 0.1250 0.7500
0.5000 0.5000 0.0000
0.7500 0.1250 0.8750
0.8750 0.2500 0.6250
0.6250 0.8750 0.2500
0.7500 0.6250 0.3750
0.7500 0.3750 0.1250
0.8750 0.7500 0.1250
0.3750 0.7500 0.6250
0.1250 0.2500 0.8750
0.2500 0.1250 0.3750
0.3750 0.6250 0.2500
0.6250 0.3750 0.7500
0.7500 0.8750 0.6250
0.8750 0.1250 0.2500
0.2500 0.6250 0.8750
0.1250 0.8750 0.7500
0.6250 0.2500 0.3750

---

Which of these has the lowest V? FeH2Ru2

---

Look up the E of the fourth one. -0.0870 hartree per atom

---

What is the formula in the seventh record? CrRePt